Record 1
Here is a geometry-optimized Li2TlAu structure from the Alexandria database. Energies are from GGA-PBE.

Electronic total energy, eV/atom: -2.611
Excess energy over the best structure of this formula in the dataset, eV/f.u.: 0.63
ΔH_f (0 K), eV/atom: -0.243

Lattice parameters (Å, degrees): 3.4152 3.4152 24.3355 90.00 90.00 120.00
Space group R-3m (No. 166, hexagonal axes)
One atom of each set of equivalent atoms:
Li (0.0000, 0.0000, 0.2368) (multiplicity 6)
Tl (0.0000, 0.0000, 0.0000) (multiplicity 3)
Au (0.0000, 0.0000, 0.5000) (multiplicity 3)

***

Record 2
Here is a geometry-optimized Li5TlAu structure from the Alexandria database. Energies are from GGA-PBE.

Electronic total energy, eV/atom: -2.400
Excess energy over the best structure of this formula in the dataset, eV/f.u.: 0.08
ΔH_f (0 K), eV/atom: -0.227

Lattice parameters (Å, degrees): 9.446 5.579 9.950 90.00 102.88 90.00
Space group C2/c (No. 15)
One atom of each set of equivalent atoms:
Li (0.000, 0.158, 0.250) (multiplicity 4)
Li (0.152, 0.416, 0.043) (multiplicity 8)
Li (0.237, 0.123, 0.669) (multiplicity 8)
Tl (0.000, 0.341, 0.750) (multiplicity 4)
Au (0.000, 0.000, 0.000) (multiplicity 4)

***

Record 3
Here is a geometry-optimized Li4TlAu7 structure from the Alexandria database. Energies are from GGA-PBE.

Electronic total energy, eV/atom: -3.089
ΔH_f (0 K), eV/atom: -0.342

Lattice parameters (Å, degrees): 5.157 5.724 7.672 78.23 71.80 89.63
Space group P-1 (No. 2)
One atom of each set of equivalent atoms:
Li (0.160, 0.172, 0.337) (multiplicity 2)
Li (0.323, 0.570, 0.674) (multiplicity 2)
Tl (0.500, 0.000, 0.000) (multiplicity 1)
Au (0.000, 0.255, 0.008) (multiplicity 2)
Au (0.169, 0.667, 0.353) (multiplicity 2)
Au (0.328, 0.087, 0.648) (multiplicity 2)
Au (0.500, 0.500, 0.000) (multiplicity 1)

***

Record 4
Here is a geometry-optimized Li12Tl5Au2 structure from the Alexandria database. Energies are from GGA-PBE.

Electronic total energy, eV/atom: -2.445
ΔH_f (0 K), eV/atom: -0.268

Lattice parameters (Å, degrees): 13.245 7.875 6.929 90.00 91.15 90.00
Space group C2/m (No. 12)
One atom of each set of equivalent atoms:
Li (0.039, 0.000, 0.305) (multiplicity 4)
Li (0.081, 0.500, 0.897) (multiplicity 4)
Li (0.127, 0.222, 0.685) (multiplicity 8)
Li (0.144, 0.310, 0.247) (multiplicity 8)
Tl (0.000, 0.500, 0.500) (multiplicity 2)
Tl (0.208, 0.000, 0.994) (multiplicity 4)
Tl (0.241, 0.000, 0.449) (multiplicity 4)
Au (0.000, 0.198, 0.000) (multiplicity 4)

***

Number 1: size of the total moment 0.0 μB per cell. Number 2: size of the total moment 0.0 μB per cell. Number 3: size of the total moment 0.0 μB per cell. Number 4: size of the total moment 0.0 μB per cell.